# 1
DFT (PBE) results for a relaxed structure of Tb2GdCd3AgAu2.

Lattice parameters (Å, degrees): 3.846 7.895 7.895 120.01 90.00 90.00
Atoms (fractional coordinates):
Ag 0.000 0.000 0.000
Au 0.500 0.667 0.333
Au 0.500 0.333 0.667
Cd 0.500 0.737 0.000
Cd 0.500 0.263 0.263
Cd 0.500 0.000 0.737
Gd 0.000 0.592 0.592
Tb 0.000 0.408 0.000
Tb 0.000 0.000 0.408

As for the volume: 23.06 Å³/atom. The formation energy is -56.3 kJ/mol of atoms. As for the space group: No. 38. As for the total magnetization: 0.0 μB/cell. As for the electronic total energy: -3.47 eV per atom.

=====

# 2
DFT (PBE) results for a relaxed structure of CsRe4As3.

Lattice parameters (Å, degrees): 4.053 4.053 10.738 90.00 90.00 90.00
Atoms (fractional coordinates):
As 0.000 0.000 0.000
As 0.500 0.500 0.279
As 0.500 0.500 0.721
Cs 0.000 0.000 0.500
Re 0.500 0.000 0.134
Re 0.000 0.500 0.134
Re 0.500 0.000 0.866
Re 0.000 0.500 0.866

As for the volume: 22.05 Å³/atom. As for the space group: No. 123. As for the total magnetization: 0.0 μB/cell. As for the electronic total energy: -7.71 eV per atom.

=====

# 3
DFT (PBE) results for a relaxed structure of ScInAu2.

Lattice parameters (Å, degrees): 4.873 4.873 8.162 90.00 90.00 120.00
Atoms (fractional coordinates):
Au 0.333 0.667 0.082
Au 0.333 0.667 0.418
Au 0.667 0.333 0.582
Au 0.667 0.333 0.918
In 0.667 0.333 0.250
In 0.333 0.667 0.750
Sc 0.000 0.000 0.250
Sc 0.000 0.000 0.750

As for the volume: 20.99 Å³/atom. As for the space group: No. 194. As for the total magnetization: 0.1 μB/cell. As for the electronic total energy: -4.10 eV per atom.

=====

# 4
DFT (PBE) results for a relaxed structure of Tl3TcTe.

Lattice parameters (Å, degrees): 5.919 7.314 7.314 59.99 90.00 90.00
Site moments in Bohr magnetons follow the coordinates.
Atoms (fractional coordinates):
Tc 0.000 0.000 0.000  0.49
Tc 0.500 0.000 0.000  0.48
Te 0.000 0.333 0.333  0.02
Te 0.500 0.333 0.333  0.02
Tl 0.250 0.727 0.369  0.02
Tl 0.750 0.904 0.370  0.02
Tl 0.750 0.369 0.727  0.01
Tl 0.250 0.904 0.727  0.02
Tl 0.250 0.370 0.904  0.01
Tl 0.750 0.727 0.904  0.01

As for the volume: 27.42 Å³/atom. As for the space group: No. 188. As for the total magnetization: 1.2 μB/cell. As for the electronic total energy: -3.61 eV per atom.

=====

# 5
DFT (PBE) results for a relaxed structure of Ho2LuGa5.

Lattice parameters (Å, degrees): 4.803 6.055 6.055 71.72 90.00 90.00
Atoms (fractional coordinates):
Ga 0.500 0.127 0.127
Ga 0.500 0.636 0.149
Ga 0.000 0.823 0.389
Ga 0.500 0.149 0.636
Ga 0.000 0.389 0.823
Ho 0.000 0.327 0.327
Ho 0.500 0.649 0.649
Lu 0.000 0.900 0.900

As for the volume: 20.90 Å³/atom. As for the space group: No. 38. As for the total magnetization: 0.0 μB/cell. As for the electronic total energy: -4.08 eV per atom.

=====

# 6
DFT (PBE) results for a relaxed structure of CsYLu.

Lattice parameters (Å, degrees): 5.553 5.553 5.553 60.00 60.00 60.00
Atoms (fractional coordinates):
Cs 0.000 0.000 0.000
Lu 0.250 0.250 0.250
Y 0.750 0.750 0.750

As for the volume: 40.36 Å³/atom. As for the space group: No. 216. As for the total magnetization: 0.0 μB/cell. As for the electronic total energy: -2.63 eV per atom.

=====

# 7
DFT (PBE) results for a relaxed structure of NbAgF3.

Lattice parameters (Å, degrees): 5.039 6.340 8.578 90.00 90.00 90.00
Site moments in Bohr magnetons follow the coordinates.
Atoms (fractional coordinates):
Ag 0.499 0.000 0.000  0.03
Ag 0.499 0.500 0.000  0.03
Ag 0.999 0.500 0.500  0.03
Ag 0.999 0.000 0.500  0.03
F 0.999 0.936 0.142  0.03
F 0.999 0.563 0.142  0.03
F 0.253 0.250 0.248  0.01
F 0.753 0.250 0.252  0.01
F 0.499 0.563 0.358  0.03
F 0.499 0.936 0.358  0.03
F 0.499 0.063 0.642  0.03
F 0.499 0.436 0.642  0.03
F 0.245 0.750 0.748  0.01
F 0.745 0.750 0.752  0.01
F 0.999 0.436 0.858  0.03
F 0.999 0.063 0.858  0.03
Nb 0.997 0.250 0.055  0.84
Nb 0.497 0.250 0.444  0.84
Nb 0.502 0.750 0.556  0.84
Nb 0.002 0.750 0.944  0.84

As for the volume: 13.70 Å³/atom. As for the space group: No. 62. As for the total magnetization: 4.1 μB/cell. As for the electronic total energy: -5.42 eV per atom.

=====

# 8
DFT (PBE) results for a relaxed structure of AcNpCd.

Lattice parameters (Å, degrees): 5.277 5.277 5.277 60.00 60.00 60.00
Atoms (fractional coordinates):
Ac 0.000 0.000 0.000
Cd 0.250 0.250 0.250
Np 0.750 0.750 0.750

As for the volume: 34.63 Å³/atom. The formation energy is 92.5 kJ/mol of atoms. As for the space group: No. 216. As for the total magnetization: 4.7 μB/cell. As for the electronic total energy: -4.97 eV per atom.

=====

# 9
DFT (PBE) results for a relaxed structure of LuGaAu2.

Lattice parameters (Å, degrees): 4.767 4.767 4.767 60.00 60.00 60.00
Atoms (fractional coordinates):
Au 0.000 0.000 0.000
Au 0.750 0.750 0.750
Ga 0.500 0.500 0.500
Lu 0.250 0.250 0.250

As for the volume: 19.15 Å³/atom. As for the space group: No. 216. As for the total magnetization: 0.0 μB/cell. As for the electronic total energy: -4.08 eV per atom.

=====

# 10
DFT (PBE) results for a relaxed structure of Zr2AsN.

Lattice parameters (Å, degrees): 5.972 5.972 12.881 103.39 103.39 59.98
Atoms (fractional coordinates):
As 0.250 0.416 0.250
As 0.917 0.083 0.250
As 0.584 0.750 0.250
As 0.416 0.250 0.750
As 0.083 0.917 0.750
As 0.750 0.584 0.750
N 0.500 0.000 0.000
N 0.833 0.333 0.000
N 0.167 0.667 0.000
N 0.333 0.833 0.500
N 0.000 0.500 0.500
N 0.667 0.167 0.500
Zr 0.532 0.366 0.097
Zr 0.866 0.699 0.097
Zr 0.199 0.032 0.097
Zr 0.968 0.801 0.403
Zr 0.301 0.134 0.403
Zr 0.634 0.468 0.403
Zr 0.366 0.532 0.597
Zr 0.699 0.866 0.597
Zr 0.032 0.199 0.597
Zr 0.801 0.968 0.903
Zr 0.134 0.301 0.903
Zr 0.468 0.634 0.903

As for the volume: 15.97 Å³/atom. As for the space group: No. 194. As for the total magnetization: 0.0 μB/cell. As for the electronic total energy: -8.87 eV per atom.

=====

# 11
DFT (PBE) results for a relaxed structure of La2NdMg3Ni2Au.

Lattice parameters (Å, degrees): 4.077 7.675 7.675 120.75 90.00 90.00
Atoms (fractional coordinates):
Au 0.000 0.001 0.001
La 0.000 0.000 0.576
La 0.000 0.576 0.000
Mg 0.500 0.244 0.003
Mg 0.500 0.003 0.244
Mg 0.500 0.753 0.753
Nd 0.000 0.421 0.421
Ni 0.500 0.669 0.334
Ni 0.500 0.334 0.669

As for the volume: 22.94 Å³/atom. As for the space group: No. 38. As for the total magnetization: 0.0 μB/cell. As for the electronic total energy: -4.15 eV per atom.

=====

# 12
DFT (PBE) results for a relaxed structure of PaSbH.

Lattice parameters (Å, degrees): 4.023 4.023 4.223 90.00 90.00 120.00
Site moments in Bohr magnetons follow the coordinates.
Atoms (fractional coordinates):
H 0.000 0.000 0.833  0.00
Pa 0.333 0.667 0.834  0.79
Sb 0.667 0.333 0.334  -0.03

As for the volume: 19.73 Å³/atom. As for the space group: No. 187. As for the total magnetization: 0.9 μB/cell. As for the electronic total energy: -6.19 eV per atom.